# Nb2Si2Ir | Alexandria via LeMat-Bulk | GGA-PBEsol | optimized geometry
# Energy relative to the elements, uncorrected, eV per atom: -0.724
# Total DFT energy (no corrections), eV per atom: -9.316
data_Nb2Si2Ir
_cell_length_a 6.1112
_cell_length_b 6.1112
_cell_length_c 4.0027
_cell_angle_alpha 90.00
_cell_angle_beta 90.00
_cell_angle_gamma 90.00
_symmetry_space_group_name_H-M 'P 4/m b m'
_symmetry_Int_Tables_number 127
_symmetry_space_group_name_Hall '-P 4 2ab'
loop_
_atom_site_label
_atom_site_type_symbol
_atom_site_fract_x
_atom_site_fract_y
_atom_site_fract_z
Nb1 Nb 0.1665 0.3335 0.0000
Si1 Si 0.1350 0.6350 0.5000
Ir1 Ir 0.0000 0.0000 0.5000

***

# RbHfNiC2 | Alexandria via LeMat-Bulk | GGA-PBEsol | optimized geometry
# Formation energy, eV/atom: 2.265
# Total DFT energy (no corrections), eV per atom: -5.129
data_RbHfNiC2
_cell_length_a 4.2344
_cell_length_b 4.2344
_cell_length_c 5.8889
_cell_angle_alpha 90.00
_cell_angle_beta 90.00
_cell_angle_gamma 90.00
_symmetry_space_group_name_H-M 'P 4/m m m'
_symmetry_Int_Tables_number 123
_symmetry_space_group_name_Hall '-P 4 2'
loop_
_atom_site_label
_atom_site_type_symbol
_atom_site_fract_x
_atom_site_fract_y
_atom_site_fract_z
Rb1 Rb 0.0000 0.0000 0.0000
Hf1 Hf 0.0000 0.0000 0.5000
Ni1 Ni 0.5000 0.5000 0.0000
C1 C 0.0000 0.5000 0.5000

***

# MnGa2W | Alexandria via LeMat-Bulk | GGA-PBEsol | optimized geometry
# Formation energy, eV/atom: 0.264
# Total DFT energy (no corrections), eV per atom: -7.298
data_MnGa2W
_cell_length_a 6.0915
_cell_length_b 6.0915
_cell_length_c 6.0915
_cell_angle_alpha 90.00
_cell_angle_beta 90.00
_cell_angle_gamma 90.00
_symmetry_space_group_name_H-M 'F m -3 m'
_symmetry_Int_Tables_number 225
_symmetry_space_group_name_Hall '-F 4 2 3'
loop_
_atom_site_label
_atom_site_type_symbol
_atom_site_fract_x
_atom_site_fract_y
_atom_site_fract_z
Mn1 Mn 0.0000 0.0000 0.0000
Ga1 Ga 0.2500 0.2500 0.2500
W1 W 0.0000 0.0000 0.5000

***

> Among the records above, which one has the highest total DFT energy (no corrections)?

RbHfNiC2